RbTlCoCl6 | PBE | relaxed

Structure (POSCAR):
```
RbTlCoCl6
1.0
3.3350 -5.7825 0.0000
3.3350 5.7825 0.0000
-0.0640 0.0000 7.3014
Rb Tl Co Cl
1 1 1 6
Cartesian
0.0000 0.0000 0.0000
3.3030 -1.9244 3.6507
3.3030 1.9501 3.6507
1.3130 2.0881 5.0820
2.1856 3.5296 2.2030
4.4204 3.5296 5.0985
2.5419 0.1327 2.1746
4.0641 0.1327 5.1268
5.2930 2.0881 2.2194
```

Properties
Formation energy without anion corrections, eV per atom: -0.9402
Spin magnetization, μB per formula unit: 3.00
Space group: C2, No. 5

GaTeRhN2 | PBE | relaxed

Structure (POSCAR):
```
GaTeRhN2
1.0
3.7987 0.0000 0.0000
0.0000 3.7987 0.0000
0.0000 0.0000 6.3508
Ga Te Rh N
1 1 1 2
Cartesian
0.0000 0.0000 0.0000
0.0000 0.0000 3.1754
1.8993 1.8993 3.1754
0.0000 1.8993 0.0000
1.8993 0.0000 0.0000
```

Properties
Formation energy without anion corrections, eV per atom: 1.3521
Spin magnetization, μB per formula unit: 2.80
Space group: P4/mmm, No. 123

ZrNbAg2P | PBE | relaxed

Structure (POSCAR):
```
ZrNbAg2P
1.0
4.6221 0.0000 0.0000
0.0000 4.6221 0.0000
0.0000 0.0000 4.7803
Zr Nb Ag P
1 1 2 1
Cartesian
0.0000 0.0000 0.0000
2.3111 2.3111 0.0000
0.0000 2.3111 2.3902
2.3111 0.0000 2.3902
2.3111 2.3111 2.3902
```

Properties
Spin magnetization, μB per formula unit: 0.00
DFT formation energy, eV/f.u.: 1.8
Space group: P4/mmm, No. 123

Sr3Ac3PdO8 | PBE | relaxed

Structure (POSCAR):
```
Sr3Ac3PdO8
1.0
6.2919 -3.7183 0.0000
6.2919 3.7183 0.0000
-4.3246 0.0000 5.9951
Sr Ac Pd O
3 3 1 8
Cartesian
0.0000 0.0000 0.0000
0.9837 1.8592 2.9976
0.9837 -1.8592 2.9976
3.1459 1.8592 0.0000
3.1459 -1.8592 0.0000
4.1296 0.0000 2.9976
-2.1623 0.0000 2.9976
-0.3467 0.0000 4.4129
2.0625 0.0000 1.4826
5.1576 1.7613 1.4723
3.1016 1.7613 4.5229
5.1576 -1.7613 1.4723
3.1016 -1.7613 4.5229
6.1967 0.0000 4.5125
8.6059 0.0000 1.5823
```

Properties
Formation energy without anion corrections, eV per atom: -2.4770
Spin magnetization, μB per formula unit: 1.01
Space group: C2/m, No. 12

BaPaIn2Cl8 | PBE | relaxed

Structure (POSCAR):
```
BaPaIn2Cl8
1.0
6.2968 0.0000 0.0000
0.0000 9.2068 0.0000
-2.4449 0.0000 7.6574
Ba Pa In Cl
1 1 2 8
Cartesian
0.0000 0.0000 0.0000
0.0000 4.6034 0.0000
1.9259 2.2374 3.8287
1.9259 6.9694 3.8287
-1.6136 2.6058 6.0417
-1.6136 6.6010 6.0417
2.1634 4.6034 1.4578
2.3714 0.0000 1.9314
1.4805 0.0000 5.7261
1.6885 4.6034 6.1996
5.4655 2.6058 1.6157
5.4655 6.6010 1.6157
```

Properties
Formation energy without anion corrections, eV per atom: -1.6791
Spin magnetization, μB per formula unit: 1.01
Space group: P2/m, No. 10

SmDy2YSc2 | PBE | relaxed

Structure (POSCAR):
```
SmDy2YSc2
1.0
6.3126 0.0000 0.0000
0.0000 17.3817 0.0000
0.0000 0.0000 3.3395
Sm Dy Y Sc
2 4 2 4
Cartesian
0.0000 0.0000 0.0000
3.1563 8.6908 1.6697
1.4142 5.3754 0.0000
1.7421 14.0662 1.6697
4.5705 3.3154 1.6697
4.8984 12.0062 0.0000
0.0000 8.6908 0.0000
3.1563 0.0000 1.6697
1.4066 2.5500 1.6697
1.7497 11.2408 0.0000
4.5630 6.1408 0.0000
4.9060 14.8317 1.6697
```

Properties
Spin magnetization, μB per formula unit: 0.00
DFT formation energy, eV/f.u.: 1.7
Space group: Pnnm, No. 58

GdPuAgPb | PBE | relaxed

Structure (POSCAR):
```
GdPuAgPb
1.0
0.0000 3.7890 3.7890
3.7890 0.0000 3.7890
3.7890 3.7890 0.0000
Gd Pu Ag Pb
1 1 1 1
Cartesian
0.0000 0.0000 0.0000
3.7890 3.7890 3.7890
5.6834 5.6834 5.6834
1.8945 1.8945 1.8945
```

Properties
Spin magnetization, μB per formula unit: 0.80
DFT formation energy, eV/f.u.: -0.8
Space group: F-43m, No. 216

K2TlO2 | PBE | relaxed

Structure (POSCAR):
```
K2TlO2
1.0
5.8849 -2.7540 0.0000
5.8849 2.7540 0.0000
-2.9291 0.0000 7.0263
K Tl O
4 2 4
Cartesian
11.1010 0.0000 1.5996
-2.2602 0.0000 5.4267
1.2611 0.0000 6.5085
7.5796 0.0000 0.5178
2.7820 0.0000 2.8860
6.0587 0.0000 4.1403
1.8447 0.0000 0.8903
4.9757 0.0000 2.1100
3.8651 0.0000 4.9163
6.9961 0.0000 6.1360
```

Properties
Formation energy without anion corrections, eV per atom: -0.9454
Spin magnetization, μB per formula unit: 0.00
Space group: C2/m, No. 12

Pr2ICl | PBE | relaxed

Structure (POSCAR):
```
Pr2ICl
1.0
1.8879 1.0900 9.4096
-1.8879 1.0900 9.4096
0.0000 -2.1800 9.4096
Pr I Cl
2 1 1
Cartesian
0.0000 0.0000 6.8828
0.0000 0.0000 21.3461
0.0000 0.0000 0.0000
0.0000 0.0000 14.1144
```

Properties
Formation energy without anion corrections, eV per atom: -1.1136
Spin magnetization, μB per formula unit: 0.00
Space group: R-3m, No. 166

SmHg2Pd9 | PBE | relaxed

Structure (POSCAR):
```
SmHg2Pd9
1.0
4.0915 0.0000 0.0000
0.0000 4.0915 0.0000
0.0000 0.0000 12.3321
Sm Hg Pd
1 2 9
Cartesian
0.0000 0.0000 0.0000
0.0000 0.0000 4.1702
0.0000 0.0000 8.1619
0.0000 2.0457 2.1280
0.0000 2.0457 6.1661
0.0000 2.0457 10.2042
2.0457 0.0000 2.1280
2.0457 0.0000 6.1661
2.0457 0.0000 10.2042
2.0457 2.0457 0.0000
2.0457 2.0457 4.1213
2.0457 2.0457 8.2108
```

Properties
Spin magnetization, μB per formula unit: 0.00
DFT formation energy, eV/f.u.: -3.9
Space group: P4/mmm, No. 123

Nd4InGaAg2 | PBE | relaxed

Structure (POSCAR):
```
Nd4InGaAg2
1.0
2.6740 1.5438 8.7357
-2.6740 1.5438 8.7357
0.0000 -3.0877 8.7357
Nd In Ga Ag
4 1 1 2
Cartesian
0.0000 0.0000 3.1502
0.0000 0.0000 9.7124
0.0000 0.0000 16.4948
0.0000 0.0000 23.0570
0.0000 0.0000 13.1036
0.0000 0.0000 0.0000
0.0000 0.0000 6.3955
0.0000 0.0000 19.8117
```

Properties
Spin magnetization, μB per formula unit: 0.68
DFT formation energy, eV/f.u.: -3.1
Space group: R-3m, No. 166

Ba5HfO8 | PBE | relaxed

Structure (POSCAR):
```
Ba5HfO8
1.0
-3.9292 3.9292 3.9096
3.9292 -3.9292 3.9096
3.9292 3.9292 -3.9096
Ba Hf O
5 1 8
Cartesian
0.0000 0.0000 0.0000
4.9228 2.0215 -1.0071
2.0215 2.9357 1.0071
-0.9935 1.9077 2.9026
1.9077 0.9935 4.9167
3.9292 0.0000 1.9548
2.8021 0.4107 -0.0035
2.1881 3.3416 -1.6126
3.5185 -1.1271 3.9131
1.7411 0.5876 2.2970
4.5168 2.1881 1.6126
0.4107 5.0563 0.0035
-0.5876 1.7411 5.5222
1.1271 3.5185 3.9062
```

Properties
Formation energy without anion corrections, eV per atom: -2.3743
Spin magnetization, μB per formula unit: 2.00
Space group: I-4, No. 82